# 1
# BeW2, relaxed, DFT PBE-GGA
# raw total energy = -28.26 eV per formula unit
# total moment = 0.00 μB/cell
# excess energy over the best structure of this formula in the dataset = 582 meV per atom
data_BeW2
_cell_length_a 2.597
_cell_length_b 14.324
_cell_length_c 4.684
_cell_angle_alpha 90.00
_cell_angle_beta 90.00
_cell_angle_gamma 90.00
_space_group_name_H-M_alt 'C m c m'
_space_group_IT_number 63
_space_group_name_Hall '-C 2c 2'
loop_
_atom_site_label
_atom_site_fract_x
_atom_site_fract_y
_atom_site_fract_z
Be1 0.000 0.215 0.250
W1 0.000 0.128 0.750
W2 0.000 0.445 0.750



# 2
# BeW5, relaxed, DFT PBE-GGA
# raw total energy = -67.44 eV per formula unit
# total moment = 0.00 μB/cell
# excess energy over the best structure of this formula in the dataset = 0 meV per atom
data_BeW5
_cell_length_a 4.378
_cell_length_b 12.928
_cell_length_c 3.230
_cell_angle_alpha 90.00
_cell_angle_beta 90.00
_cell_angle_gamma 90.00
_space_group_name_H-M_alt 'C m m m'
_space_group_IT_number 65
_space_group_name_Hall '-C 2 2'
loop_
_atom_site_label
_atom_site_fract_x
_atom_site_fract_y
_atom_site_fract_z
Be1 0.000 0.000 0.000
W1 0.000 0.162 0.500
W2 0.000 0.336 0.000
W3 0.000 0.500 0.500



# 3
# BeW5, relaxed, DFT PBE-GGA
# raw total energy = -66.02 eV per formula unit
# total moment = 0.00 μB/cell
# excess energy over the best structure of this formula in the dataset = 237 meV per atom
data_BeW5
_cell_length_a 4.593
_cell_length_b 2.637
_cell_length_c 15.455
_cell_angle_alpha 90.00
_cell_angle_beta 90.00
_cell_angle_gamma 90.00
_space_group_name_H-M_alt 'A m m 2'
_space_group_IT_number 38
loop_
_space_group_symop_operation_xyz
'x,y,z'
'-x,-y,z'
'-x,y,z'
'x,-y,z'
'x,y+1/2,z+1/2'
'-x,-y+1/2,z+1/2'
'-x,y+1/2,z+1/2'
'x,-y+1/2,z+1/2'
loop_
_atom_site_label
_atom_site_fract_x
_atom_site_fract_y
_atom_site_fract_z
Be1 0.000 0.000 0.000
W1 0.000 0.000 0.333
W2 0.000 0.000 0.653
W3 0.500 0.000 0.230
W4 0.500 0.000 0.558
W5 0.500 0.000 0.899



# 4
# BeW3, relaxed, DFT PBE-GGA
# raw total energy = -41.70 eV per formula unit
# total moment = 0.00 μB/cell
# excess energy over the best structure of this formula in the dataset = 113 meV per atom
data_BeW3
_cell_length_a 8.7574
_cell_length_b 8.7574
_cell_length_c 2.6949
_cell_angle_alpha 90.00
_cell_angle_beta 90.00
_cell_angle_gamma 120.00
_space_group_name_H-M_alt 'R -3 m'
_space_group_IT_number 166
_space_group_name_Hall '-R 3 2"'
loop_
_atom_site_label
_atom_site_fract_x
_atom_site_fract_y
_atom_site_fract_z
Be1 0.0000 0.0000 0.0000
W1 0.0000 0.5000 0.0000



# 5
# BeW7, relaxed, DFT PBE-GGA
# raw total energy = -91.25 eV per formula unit
# total moment = 0.00 μB/cell
data_BeW7
_cell_length_a 7.960
_cell_length_b 7.960
_cell_length_c 7.960
_cell_angle_alpha 90.00
_cell_angle_beta 90.00
_cell_angle_gamma 90.00
_space_group_name_H-M_alt 'F m -3 m'
_space_group_IT_number 225
_space_group_name_Hall '-F 4 2 3'
loop_
_atom_site_label
_atom_site_fract_x
_atom_site_fract_y
_atom_site_fract_z
Be1 0.000 0.000 0.000
W1 0.000 0.000 0.500
W2 0.000 0.250 0.250



# 6
# BeW3, relaxed, DFT PBE-GGA
# raw total energy = -41.85 eV per formula unit
# total moment = 0.00 μB/cell
# excess energy over the best structure of this formula in the dataset = 76 meV per atom
data_BeW3
_cell_length_a 3.190
_cell_length_b 3.190
_cell_length_c 5.720
_cell_angle_alpha 90.00
_cell_angle_beta 90.00
_cell_angle_gamma 90.00
_space_group_name_H-M_alt 'P 4/m m m'
_space_group_IT_number 123
_space_group_name_Hall '-P 4 2'
loop_
_atom_site_label
_atom_site_fract_x
_atom_site_fract_y
_atom_site_fract_z
Be1 0.000 0.000 0.000
W1 0.000 0.000 0.500
W2 0.500 0.500 0.225



# 7
# Be2W3, relaxed, DFT PBE-GGA
# raw total energy = -44.21 eV per formula unit
# total moment = 0.00 μB/cell
data_Be2W3
_cell_length_a 3.1397
_cell_length_b 3.1397
_cell_length_c 23.2011
_cell_angle_alpha 90.00
_cell_angle_beta 90.00
_cell_angle_gamma 120.00
_space_group_name_H-M_alt 'R -3 m'
_space_group_IT_number 166
_space_group_name_Hall '-R 3 2"'
loop_
_atom_site_label
_atom_site_fract_x
_atom_site_fract_y
_atom_site_fract_z
Be1 0.0000 0.0000 0.1058
W1 0.0000 0.0000 0.2894
W2 0.0000 0.0000 0.5000



# 8
# Be2W, relaxed, DFT PBE-GGA
# raw total energy = -18.35 eV per formula unit
# total moment = 0.00 μB/cell
# excess energy over the best structure of this formula in the dataset = 1000 meV per atom
data_Be2W
_cell_length_a 5.3957
_cell_length_b 5.3957
_cell_length_c 4.1108
_cell_angle_alpha 90.00
_cell_angle_beta 90.00
_cell_angle_gamma 120.00
_space_group_name_H-M_alt 'P -6 2 m'
_space_group_IT_number 189
_space_group_name_Hall 'P -6 -2'
loop_
_atom_site_label
_atom_site_fract_x
_atom_site_fract_y
_atom_site_fract_z
Be1 0.0000 0.2060 0.0000
Be2 0.0000 0.4836 0.5000
W1 0.0000 0.0000 0.5000
W2 0.3333 0.6667 0.0000



# 9
# BeW5, relaxed, DFT PBE-GGA
# raw total energy = -64.93 eV per formula unit
# total moment = 0.00 μB/cell
# excess energy over the best structure of this formula in the dataset = 418 meV per atom
data_BeW5
_cell_length_a 7.362
_cell_length_b 7.362
_cell_length_c 7.362
_cell_angle_alpha 90.00
_cell_angle_beta 90.00
_cell_angle_gamma 90.00
_space_group_name_H-M_alt 'F -4 3 m'
_space_group_IT_number 216
_space_group_name_Hall 'F -4 2 3'
loop_
_atom_site_label
_atom_site_fract_x
_atom_site_fract_y
_atom_site_fract_z
Be1 0.000 0.000 0.000
W1 0.126 0.126 0.374
W2 0.250 0.250 0.750



# 10
# BeW3, relaxed, DFT PBE-GGA
# raw total energy = -42.15 eV per formula unit
# total moment = 0.00 μB/cell
# excess energy over the best structure of this formula in the dataset = 1 meV per atom
data_BeW3
_cell_length_a 6.135
_cell_length_b 7.622
_cell_length_c 4.880
_cell_angle_alpha 90.00
_cell_angle_beta 90.00
_cell_angle_gamma 90.00
_space_group_name_H-M_alt 'P n m a'
_space_group_IT_number 62
loop_
_space_group_symop_operation_xyz
'x,y,z'
'-x,-y,-z'
'-x+1/2,-y,z+1/2'
'x+1/2,y,-z+1/2'
'x+1/2,-y+1/2,-z+1/2'
'-x+1/2,y+1/2,z+1/2'
'-x,y+1/2,-z'
'x,-y+1/2,z'
loop_
_atom_site_label
_atom_site_fract_x
_atom_site_fract_y
_atom_site_fract_z
Be1 0.117 0.250 0.075
W1 0.008 0.750 0.402
W2 0.177 0.553 0.853



# 11
# Be8W, relaxed, DFT PBE-GGA
# raw total energy = -42.12 eV per formula unit
# total moment = 0.00 μB/cell
data_Be8W
_cell_length_a 6.982
_cell_length_b 6.982
_cell_length_c 3.347
_cell_angle_alpha 90.00
_cell_angle_beta 90.00
_cell_angle_gamma 90.00
_space_group_name_H-M_alt 'I 4/m m m'
_space_group_IT_number 139
_space_group_name_Hall '-I 4 2'
loop_
_atom_site_label
_atom_site_fract_x
_atom_site_fract_y
_atom_site_fract_z
Be1 0.000 0.347 0.000
Be2 0.183 0.183 0.500
W1 0.000 0.000 0.000



# 12
# Be2W, relaxed, DFT PBE-GGA
# raw total energy = -20.81 eV per formula unit
# total moment = 0.00 μB/cell
# excess energy over the best structure of this formula in the dataset = 178 meV per atom
data_Be2W
_cell_length_a 3.3845
_cell_length_b 3.3845
_cell_length_c 3.1120
_cell_angle_alpha 90.00
_cell_angle_beta 90.00
_cell_angle_gamma 120.00
_space_group_name_H-M_alt 'P 6/m m m'
_space_group_IT_number 191
_space_group_name_Hall '-P 6 2'
loop_
_atom_site_label
_atom_site_fract_x
_atom_site_fract_y
_atom_site_fract_z
Be1 0.3333 0.6667 0.0000
W1 0.0000 0.0000 0.5000